(1)
First-principles (PBE-GGA) data for an optimized crystal structure of Na3Tl3Sb, as listed in the Alexandria database.

Values from the calculation:
Its energy relative to the elements, uncorrected is -0.106 eV per atom. The value obtained for the total energy is -31.8 eV/cell. Its crystal system is trigonal.

```
14
Lattice="7.4871 0.1860 4.5940 2.6620 7.0003 4.5940 0.2626 0.1860 8.7802" Properties=species:S:1:pos:R:3 pbc="T T T"
Tl 3.2950 1.5437 10.0138
Tl 6.6144 1.2356 10.1299
Tl 2.9920 4.7770 10.7759
Tl 7.1167 5.8285 7.9544
Tl 3.7973 6.1366 7.8383
Tl 7.4197 2.5953 7.1923
Sb 6.3171 4.4730 10.9018
Sb 4.0946 2.8993 7.0663
Na 2.3035 0.4012 6.2073
Na 1.7866 3.8661 5.0852
Na 8.1082 6.9711 11.7609
Na 8.6251 3.5062 12.8829
Na 5.5948 5.3327 13.8894
Na 4.8169 2.0395 4.0787
```

(2)
First-principles (PBE-GGA) data for an optimized crystal structure of YSnGe2Pd, as listed in the Alexandria database.

Values from the calculation:
The value obtained for the total energy is -23.4 eV/cell. For the energy relative to the elements, the calculation gives 0.308 eV per atom. Its crystal system is tetragonal.

```
5
Lattice="-0.9045 -3.3344 -3.8980 4.6741 -1.4431 0.1499 -1.2515 -3.6950 3.4512" Properties=species:S:1:pos:R:3 pbc="T T T"
Sn 0.0000 0.0000 0.0000
Y 1.2591 -4.2363 -0.1484
Ge -0.6257 -1.8475 1.7256
Ge -0.4522 -1.6672 -1.9490
Pd 2.3371 -0.7215 0.0749
```